The following is a PBE+U calculation of a relaxed structure of K2Nd2CrO6, from Alexandria via LeMat-Bulk.

Cell lengths 5.8850, 5.8850, 6.6068 Å; angles 97.52, 97.52, 118.96 degrees
Atoms (fractional coordinates):
1 K 0.1546 0.8454 0.0000
2 K 0.8454 0.1546 0.0000
3 Nd 0.3360 0.6640 0.5000
4 Nd 0.6640 0.3360 0.5000
5 Cr 0.0000 0.0000 0.5000
6 O 0.0440 0.3321 0.6678
7 O 0.2388 0.2388 0.3239
8 O 0.3321 0.0440 0.6678
9 O 0.6679 0.9560 0.3322
10 O 0.7612 0.7612 0.6761
11 O 0.9560 0.6679 0.3322

**SG**: No. 12
**Calculated total energy**: -6.72 eV per atom